[1]
Compound: CdCu
Source: Alexandria via LeMat-Bulk
Functional: PBE
Structure: relaxed

Cell: 4.5351 4.5351 11.2024 Å, 90.00 90.00 120.00°
Space group R-3m (No. 166, hexagonal axes)
One atom of each set of equivalent atoms:
Cd 0.0000 0.0000 0.1243 (multiplicity 6)
Cu 0.0000 0.0000 0.3734 (multiplicity 6)

Summary:
The formation energy from the elements is 0.3 eV/f.u. For the density of states at the Fermi level, the calculation gives 0.7 states/eV/f.u.

---

[2]
Compound: SrBe2Nb
Source: Alexandria via LeMat-Bulk
Functional: PBE
Structure: relaxed

Cell: 6.620 6.620 6.620 Å, 90.00 90.00 90.00°
Space group Fm-3m (No. 225)
One atom of each set of equivalent atoms:
Sr 0.000 0.000 0.000 (multiplicity 4)
Be 0.250 0.250 0.250 (multiplicity 8)
Nb 0.000 0.000 0.500 (multiplicity 4)

Summary:
The formation energy from the elements is 3.3 eV/f.u. The calculation puts the energy above the lowest structure with this stoichiometry at 0.0000 eV/atom. For the density of states at the Fermi level, the calculation gives 4.4 states/eV/f.u.

---

[3]
Compound: CrCdAg
Source: Alexandria via LeMat-Bulk
Functional: PBE
Structure: relaxed

Cell: 4.6872 4.6872 2.9482 Å, 90.00 90.00 120.00°
Space group P3m1 (No. 156)
One atom of each set of equivalent atoms:
Cr 0.0000 0.0000 0.0000 (multiplicity 1)
Cd 0.6667 0.3333 0.6184 (multiplicity 1)
Ag 0.3333 0.6667 0.3228 (multiplicity 1)

Summary:
The formation energy from the elements is 1.1 eV/f.u. The calculation puts the energy above the lowest structure with this stoichiometry at 0.0428 eV/atom. For the density of states at the Fermi level, the calculation gives 1.2 states/eV/f.u.

---

[4]
Compound: CsLiPb2
Source: Alexandria via LeMat-Bulk
Functional: PBE
Structure: relaxed

Cell: 3.6344 3.6344 34.0797 Å, 90.00 90.00 120.00°
Space group R-3m (No. 166, hexagonal axes)
One atom of each set of equivalent atoms:
Cs 0.0000 0.0000 0.0000 (multiplicity 3)
Li 0.0000 0.0000 0.5000 (multiplicity 3)
Pb 0.0000 0.0000 0.2349 (multiplicity 6)

Summary:
The formation energy from the elements is 0.1 eV/f.u. The calculation puts the energy above the lowest structure with this stoichiometry at 0.2399 eV/atom. For the density of states at the Fermi level, the calculation gives 2.0 states/eV/f.u.

---

[5]
Compound: CeFe3Br12
Source: Alexandria via LeMat-Bulk
Functional: PBE
Structure: relaxed

Cell: 13.2605 13.2605 7.7437 Å, 90.00 90.00 120.00°
Space group P6_3/m (No. 176)
One atom of each set of equivalent atoms:
Ce 0.3333 0.6667 0.2500 (multiplicity 2)
Fe 0.1057 0.4073 0.7500 (multiplicity 6)
Br 0.0148 0.2082 0.7500 (multiplicity 6)
Br 0.0168 0.5139 0.2500 (multiplicity 6)
Br 0.2337 0.4707 0.0004 (multiplicity 12)

Summary:
The uncorrected formation energy comes out at -0.76 eV per atom. For the density of states at the Fermi level, the calculation gives 9.7 states/eV/f.u.

---

[6]
Compound: BeTlF2
Source: Alexandria via LeMat-Bulk
Functional: PBE
Structure: relaxed

Cell: 6.306 6.306 6.306 Å, 90.00 90.00 90.00°
Space group Fm-3m (No. 225)
One atom of each set of equivalent atoms:
Be 0.000 0.000 0.000 (multiplicity 4)
Tl 0.000 0.000 0.500 (multiplicity 4)
F 0.250 0.250 0.250 (multiplicity 8)

Summary:
The uncorrected formation energy comes out at -0.72 eV per atom. The calculation puts the energy above the lowest structure with this stoichiometry at 1.2805 eV/atom. For the density of states at the Fermi level, the calculation gives 0.4 states/eV/f.u.

---

[7]
Compound: Sn2MoI
Source: Alexandria via LeMat-Bulk
Functional: PBE
Structure: relaxed

Cell: 6.664 6.664 13.791 Å, 90.00 90.00 90.00°
Space group I-42d (No. 122)
One atom of each set of equivalent atoms:
Sn 0.161 0.250 0.125 (multiplicity 8)
Mo 0.000 0.000 0.000 (multiplicity 4)
I 0.000 0.000 0.500 (multiplicity 4)

Summary:
The uncorrected formation energy comes out at 0.81 eV per atom. The calculation puts the energy above the lowest structure with this stoichiometry at 0.0000 eV/atom. For the density of states at the Fermi level, the calculation gives 3.4 states/eV/f.u.

---

[8]
Compound: Na3Cd4In
Source: Alexandria via LeMat-Bulk
Functional: PBE
Structure: relaxed

Cell: 10.802 6.582 5.626 Å, 90.00 90.00 90.00°
Space group Pmma (No. 51)
One atom of each set of equivalent atoms:
Na 0.000 0.000 0.000 (multiplicity 2)
Na 0.250 0.000 0.346 (multiplicity 2)
Na 0.250 0.500 0.333 (multiplicity 2)
Cd 0.000 0.252 0.500 (multiplicity 4)
Cd 0.250 0.250 0.833 (multiplicity 4)
In 0.000 0.500 0.000 (multiplicity 2)

Summary:
The formation energy from the elements is -0.6 eV/f.u. For the density of states at the Fermi level, the calculation gives 3.5 states/eV/f.u.